# 1
5
Lattice="3.419 0.000 0.000 0.000 3.419 0.000 -1.709 -1.709 6.458" Properties=species:S:1:pos:R:3 comment="SCAN Li2Al2Mo, single point on PBEsol structure" delta_e_f_ev_per_atom=0.1217 pbc="T T T"
Mo 0.000 0.000 0.000
Al 0.000 0.000 5.236
Al 1.709 1.709 1.222
Li 0.000 1.709 3.229
Li 1.709 0.000 3.229


# 2
4
Lattice="2.624 0.000 0.003 0.000 4.340 0.000 -0.982 0.000 5.102" Properties=species:S:1:pos:R:3 comment="SCAN LiAlMo2, single point on PBEsol structure" delta_e_f_ev_per_atom=0.1133 pbc="T T T"
Al 1.312 2.170 0.001
Li 0.821 2.170 2.553
Mo 1.837 0.000 3.822
Mo -0.195 0.000 1.283


# 3
10
Lattice="-2.589 1.946 1.158 -4.314 -3.696 -3.433 -0.699 -4.036 5.223" Properties=species:S:1:pos:R:3 comment="SCAN LiAl2Mo2, single point on PBEsol structure" delta_e_f_ev_per_atom=0.1800 pbc="T T T"
Mo -2.461 -2.305 3.482
Mo -4.740 -4.855 2.675
Mo -5.141 -3.481 -0.535
Mo -2.862 -0.930 0.273
Al -2.179 -4.839 3.264
Al -4.175 -5.760 0.348
Al -2.835 -2.893 -1.475
Al -0.838 -1.972 1.441
Li 0.000 0.000 0.000
Li -2.507 -3.866 0.895


# 4
3
Lattice="-1.451 1.574 -1.474 1.475 -1.997 -3.584 -3.598 -1.459 1.984" Properties=species:S:1:pos:R:3 comment="SCAN LiAlMo, single point on PBEsol structure" delta_e_f_ev_per_atom=0.1745 pbc="T T T"
Mo -2.397 -1.107 -0.370
Al -1.254 1.360 -1.274
Li -1.374 -0.562 -2.904


| no. | DOS at the Fermi energy (states/eV/cell) |
| --- | --- |
| 1 | 2.4 |
| 2 | 2.3 |
| 3 | 9.9 |
| 4 | 2.9 |